1.
Material: Cd3HRh
Method: DFT, PBE-GGA
State: relaxed

Cell: 5.984 5.457 9.732 Å, 91.68 90.00 90.00°
Atoms (fractional coordinates):
H 0.751 0.930 0.465
H 0.249 0.070 0.535
H 0.749 0.930 0.965
H 0.251 0.070 0.035
Cd 0.498 0.811 0.138
Cd 0.750 0.354 0.119
Cd 0.002 0.811 0.638
Cd 0.002 0.811 0.138
Cd 0.498 0.811 0.638
Cd 0.250 0.646 0.881
Cd 0.250 0.646 0.381
Cd 0.750 0.354 0.619
Cd 0.998 0.189 0.862
Cd 0.502 0.189 0.862
Cd 0.502 0.189 0.362
Cd 0.998 0.189 0.362
Rh 0.250 0.333 0.616
Rh 0.750 0.667 0.884
Rh 0.750 0.667 0.384
Rh 0.250 0.333 0.116

Density of states at the Fermi level, states/eV/cell: 4.6
Total magnetization, μB/f.u.: 0.00
Mass density, g cm⁻³: 9.2
Energy relative to the lowest polymorph listed for this composition, meV/atom: 0
Space-group type: No. 14
Calculated total energy, eV/atom: -2.730

2.
Material: BIrPt
Method: DFT, PBE-GGA
State: relaxed

Cell: 2.902 5.876 5.656 Å, 109.88 90.01 119.50°
Atoms (fractional coordinates):
Pt 0.580 0.331 0.752
Pt 0.546 0.797 0.544
Ir 0.559 0.810 0.043
Ir 0.567 0.319 0.253
B 0.215 0.967 0.355
B 0.911 0.161 0.941

Density of states at the Fermi level, states/eV/cell: 2.5
Total magnetization, μB/f.u.: 0.00
Mass density, g cm⁻³: 17.1
Energy of formation from the pure elements, eV per atom: -0.1888
Space-group type: No. 2
Calculated total energy, eV/atom: -7.382